Ac3BiPd9Pb2 | Alexandria via LeMat-Bulk | GGA-PBE | optimized geometry; energy of formation = -0.366 eV/atom; ρ = 9.2 Mg/m³; DOS at the Fermi energy = 5.235 states/eV/f.u.; V = 410.0 Å³/cell
1.0
7.0348 0.0000 0.0000
-3.5174 6.0924 0.0000
0.0000 0.0000 9.5671
Ac Bi Pd Pb
3 1 9 2
Cartesian
0.0000 0.0000 0.0000
0.0000 4.0616 7.1668
3.5174 2.0308 2.4003
0.0000 0.0000 4.7835
-1.7587 3.0462 0.0000
0.0000 1.5941 2.5975
-2.1369 5.2953 2.5975
1.3805 0.7970 6.9696
3.5174 0.0000 0.0000
1.7587 3.0462 0.0000
2.1369 5.2953 2.5975
5.6543 0.7970 6.9696
3.5174 4.4983 6.9696
0.0000 4.0616 1.8449
3.5174 2.0308 7.7221

Ac2Bi3Pd4Pb | Alexandria via LeMat-Bulk | GGA-PBE | optimized geometry; energy of formation = -0.654 eV/atom; ρ = 10.9 Mg/m³; DOS at the Fermi energy = 6.416 states/eV/f.u.; V = 260.8 Å³/cell
1.0
4.8341 0.0000 0.0000
0.0000 4.8341 0.0000
0.0000 0.0000 11.1581
Ac Bi Pd Pb
2 3 4 1
Cartesian
0.0000 2.4171 2.6048
2.4171 0.0000 8.5533
0.0000 2.4171 9.7455
2.4171 0.0000 1.4126
2.4171 2.4171 5.5791
0.0000 0.0000 0.0000
0.0000 2.4171 7.0508
2.4171 0.0000 4.1073
2.4171 2.4171 0.0000
0.0000 0.0000 5.5791

Ac3Bi2Pd8Pb | Alexandria via LeMat-Bulk | GGA-PBE | optimized geometry; energy of formation = -0.584 eV/atom; ρ = 11.1 Mg/m³; DOS at the Fermi energy = 7.068 states/eV/f.u.; V = 323.9 Å³/cell
1.0
5.7847 0.0000 0.0000
-2.8923 5.0097 0.0000
0.0000 0.0000 11.1757
Ac Bi Pd Pb
3 2 8 1
Cartesian
0.0000 0.0000 0.0000
0.0000 3.3398 6.6179
2.8923 1.6699 4.5577
0.0000 3.3398 1.1458
2.8923 1.6699 10.0298
0.0000 1.6477 3.2706
-1.4654 4.1858 3.2706
1.4270 0.8239 7.9051
0.0000 3.3398 9.5134
2.8923 1.6699 1.6623
1.4654 4.1858 3.2706
4.3577 0.8239 7.9051
2.8923 3.3620 7.9051
0.0000 0.0000 5.5878

AcBiPd2Pb2 | Alexandria via LeMat-Bulk | GGA-PBE | optimized geometry; energy of formation = -0.285 eV/atom; ρ = 9.8 Mg/m³; DOS at the Fermi energy = 3.320 states/eV/f.u.; V = 359.0 Å³/cell
1.0
5.4848 0.0000 0.0000
0.0000 5.4848 0.0000
0.0000 0.0000 11.9328
Ac Bi Pd Pb
2 2 4 4
Cartesian
0.0000 0.0000 0.0000
2.7424 2.7424 5.9664
0.0000 0.0000 5.9664
2.7424 2.7424 0.0000
0.0000 0.0000 3.0534
0.0000 0.0000 8.8794
2.7424 2.7424 2.9130
2.7424 2.7424 9.0198
0.0000 2.7424 2.9832
0.0000 2.7424 8.9496
2.7424 0.0000 2.9832
2.7424 0.0000 8.9496

Ac2BiPd4Pb3 | Alexandria via LeMat-Bulk | GGA-PBE | optimized geometry; energy of formation = -0.578 eV/atom; ρ = 11.0 Mg/m³; DOS at the Fermi energy = 6.502 states/eV/f.u.; V = 258.9 Å³/cell
1.0
4.8592 0.0000 0.0000
0.0000 4.8592 0.0000
0.0000 0.0000 10.9637
Ac Bi Pd Pb
2 1 4 3
Cartesian
0.0000 2.4296 2.5648
2.4296 0.0000 8.3988
0.0000 0.0000 5.4818
0.0000 0.0000 0.0000
0.0000 2.4296 6.9317
2.4296 0.0000 4.0320
2.4296 2.4296 0.0000
0.0000 2.4296 9.6238
2.4296 0.0000 1.3399
2.4296 2.4296 5.4818

AcBi2Pd7Pb2 | Alexandria via LeMat-Bulk | GGA-PBE | optimized geometry; energy of formation = -0.325 eV/atom; ρ = 10.8 Mg/m³; DOS at the Fermi energy = 5.010 states/eV/f.u.; V = 277.2 Å³/cell
1.0
2.9481 -2.9407 0.0000
2.9481 2.9407 0.0000
-1.6475 0.0000 15.9886
Ac Bi Pd Pb
1 2 7 2
Cartesian
0.0000 0.0000 0.0000
1.3062 0.0000 11.9187
2.9425 0.0000 4.0699
1.4753 1.4726 2.2568
1.2613 0.0000 9.1095
2.7734 1.4726 13.7318
2.9481 0.0000 0.0000
1.4753 -1.4726 2.2568
2.9874 0.0000 6.8791
2.7734 -1.4726 13.7318
0.0682 0.0000 6.5038
4.1805 0.0000 9.4849

AcPmBiPb | Alexandria via LeMat-Bulk | GGA-PBE | optimized geometry; energy of formation = -0.538 eV/atom; ρ = 9.7 Mg/m³; DOS at the Fermi energy = 5.141 states/eV/f.u.; V = 540.0 Å³/cell
1.0
8.1432 0.0000 0.0000
0.0000 8.1432 0.0000
0.0000 0.0000 8.1432
Ac Pm Bi Pb
4 4 4 4
Cartesian
0.0000 0.0000 0.0000
0.0000 4.0716 4.0716
4.0716 0.0000 4.0716
4.0716 4.0716 0.0000
0.0000 0.0000 4.0716
0.0000 4.0716 0.0000
4.0716 0.0000 0.0000
4.0716 4.0716 4.0716
2.0358 2.0358 2.0358
2.0358 6.1074 6.1074
6.1074 2.0358 6.1074
6.1074 6.1074 2.0358
2.0358 2.0358 6.1074
2.0358 6.1074 2.0358
6.1074 2.0358 2.0358
6.1074 6.1074 6.1074

AcBiPtPb | Alexandria via LeMat-Bulk | GGA-PBE | optimized geometry; energy of formation = -0.371 eV/atom; ρ = 12.2 Mg/m³; DOS at the Fermi energy = 1.824 states/eV/f.u.; V = 455.9 Å³/cell
1.0
7.6966 0.0000 0.0000
0.0000 7.6966 0.0000
0.0000 0.0000 7.6966
Ac Bi Pt Pb
4 4 4 4
Cartesian
0.0000 0.0000 0.0000
0.0000 3.8483 3.8483
3.8483 0.0000 3.8483
3.8483 3.8483 0.0000
0.0000 0.0000 3.8483
0.0000 3.8483 0.0000
3.8483 0.0000 0.0000
3.8483 3.8483 3.8483
1.9241 1.9241 1.9241
1.9241 5.7724 5.7724
5.7724 1.9241 5.7724
5.7724 5.7724 1.9241
1.9241 1.9241 5.7724
1.9241 5.7724 1.9241
5.7724 1.9241 1.9241
5.7724 5.7724 5.7724

AcPuBiPb | Alexandria via LeMat-Bulk | GGA-PBE | optimized geometry; energy of formation = -0.324 eV/atom; ρ = 11.1 Mg/m³; DOS at the Fermi energy = 16.156 states/eV/f.u.; V = 528.6 Å³/cell
1.0
8.0854 0.0000 0.0000
0.0000 8.0854 0.0000
0.0000 0.0000 8.0854
Ac Pu Bi Pb
4 4 4 4
Cartesian
0.0000 0.0000 0.0000
0.0000 4.0427 4.0427
4.0427 0.0000 4.0427
4.0427 4.0427 0.0000
0.0000 0.0000 4.0427
0.0000 4.0427 0.0000
4.0427 0.0000 0.0000
4.0427 4.0427 4.0427
2.0213 2.0213 2.0213
2.0213 6.0640 6.0640
6.0640 2.0213 6.0640
6.0640 6.0640 2.0213
2.0213 2.0213 6.0640
2.0213 6.0640 2.0213
6.0640 2.0213 2.0213
6.0640 6.0640 6.0640

RbAcBiPb | Alexandria via LeMat-Bulk | GGA-PBE | optimized geometry; energy of formation = -0.256 eV/atom; ρ = 7.9 Mg/m³; DOS at the Fermi energy = 3.258 states/eV/f.u.; V = 613.1 Å³/cell
1.0
8.4955 0.0000 0.0000
0.0000 8.4955 0.0000
0.0000 0.0000 8.4955
Rb Ac Bi Pb
4 4 4 4
Cartesian
0.0000 0.0000 0.0000
0.0000 4.2477 4.2477
4.2477 0.0000 4.2477
4.2477 4.2477 0.0000
0.0000 0.0000 4.2477
0.0000 4.2477 0.0000
4.2477 0.0000 0.0000
4.2477 4.2477 4.2477
2.1239 2.1239 6.3716
2.1239 6.3716 2.1239
6.3716 2.1239 2.1239
6.3716 6.3716 6.3716
2.1239 2.1239 2.1239
2.1239 6.3716 6.3716
6.3716 2.1239 6.3716
6.3716 6.3716 2.1239

Ac2BiRh4Pb3 | Alexandria via LeMat-Bulk | GGA-PBE | optimized geometry; energy of formation = -0.429 eV/atom; ρ = 11.5 Mg/m³; DOS at the Fermi energy = 6.629 states/eV/f.u.; V = 245.9 Å³/cell
1.0
4.6982 0.0000 0.0000
0.0000 4.6982 0.0000
0.0000 0.0000 11.1390
Ac Bi Rh Pb
2 1 4 3
Cartesian
0.0000 2.3491 2.7225
2.3491 0.0000 8.4165
0.0000 0.0000 5.5695
0.0000 0.0000 0.0000
0.0000 2.3491 7.0602
2.3491 0.0000 4.0788
2.3491 2.3491 0.0000
0.0000 2.3491 9.7407
2.3491 0.0000 1.3983
2.3491 2.3491 5.5695

AcBiRh3Pb | Alexandria via LeMat-Bulk | GGA-PBE | optimized geometry; energy of formation = -0.285 eV/atom; ρ = 10.3 Mg/m³; DOS at the Fermi energy = 3.168 states/eV/f.u.; V = 306.6 Å³/cell
1.0
2.9613 -8.7282 0.0000
2.9613 8.7282 0.0000
0.0000 0.0000 5.9320
Ac Bi Rh Pb
2 2 6 2
Cartesian
2.9613 4.5380 4.4490
2.9613 -4.5380 1.4830
2.9613 1.6139 1.4830
2.9613 -1.6139 4.4490
1.4472 0.0000 0.0000
1.4472 0.0000 2.9660
2.9613 4.2974 1.4830
2.9613 -4.2974 4.4490
4.4754 0.0000 0.0000
4.4754 0.0000 2.9660
2.9613 6.9873 1.4830
2.9613 -6.9873 4.4490